# 1
The following is a DFT calculation (PBE) of a geometry-optimized Ni2P2Pd structure.

```
Ni2P2Pd
1.0
-1.785 1.785 5.222
1.785 -1.785 5.222
1.785 1.785 -5.222
Ni P Pd
2 2 1
Direct
0.120 0.120 0.000
0.880 0.880 0.000
0.250 0.750 0.500
0.750 0.250 0.500
0.500 0.500 0.000
```

Values from the calculation:
V in Å³/atom: 13.32
ρ in kg/m3: 7126
Magnetization in μB per formula unit: 0.00
ΔE to the lowest computed polymorph in meV/atom: 167.0
ΔH_f (0 K) in eV/atom: -0.072

# 2
The following is a DFT calculation (PBE) of a geometry-optimized Ni2PPd2 structure.

```
Ni2PPd2
1.0
5.663 0.000 0.000
0.000 5.663 0.000
0.000 0.000 4.195
Ni P Pd
4 2 4
Direct
0.146 0.354 0.000
0.354 0.854 0.000
0.646 0.146 0.000
0.854 0.646 0.000
0.000 0.000 0.000
0.500 0.500 0.000
0.171 0.671 0.500
0.329 0.171 0.500
0.671 0.829 0.500
0.829 0.329 0.500
```

Values from the calculation:
V in Å³/atom: 13.45
ρ in kg/m3: 8918
Magnetization in μB per formula unit: 0.00
ΔH_f (0 K) in eV/atom: -0.135

# 3
The following is a DFT calculation (PBE) of a geometry-optimized NiP2Pd structure.

```
NiP2Pd
1.0
-2.640 2.640 5.044
2.640 -2.640 5.044
2.640 2.640 -5.044
Ni P Pd
2 4 2
Direct
0.000 0.000 0.000
0.750 0.250 0.500
0.096 0.625 0.971
0.375 0.346 0.471
0.654 0.125 0.029
0.875 0.904 0.529
0.250 0.750 0.500
0.500 0.500 0.000
```

Values from the calculation:
V in Å³/atom: 17.58
ρ in kg/m3: 5362
Magnetization in μB per formula unit: 0.00
ΔE to the lowest computed polymorph in meV/atom: 0.0
ΔH_f (0 K) in eV/atom: -0.115

# 4
The following is a DFT calculation (PBE) of a geometry-optimized NiP2Pd3 structure.

```
NiP2Pd3
1.0
-2.802 5.883 2.617
2.802 -5.883 2.617
2.802 5.883 -2.617
Ni P Pd
2 4 6
Direct
0.250 0.250 0.000
0.750 0.750 0.000
0.118 0.222 0.340
0.382 0.722 0.103
0.618 0.278 0.897
0.882 0.778 0.660
0.188 0.791 0.979
0.250 0.750 0.500
0.312 0.291 0.603
0.688 0.709 0.397
0.750 0.250 0.500
0.812 0.209 0.021
```

Values from the calculation:
V in Å³/atom: 14.38
ρ in kg/m3: 8466
Magnetization in μB per formula unit: 0.00
ΔH_f (0 K) in eV/atom: -0.403

# 5
The following is a DFT calculation (PBE) of a geometry-optimized Pm2Ni12P3Pd structure.

```
Pm2Ni12P3Pd
1.0
4.320 2.494 3.877
-4.320 2.494 3.877
0.000 -4.988 3.877
Pm Ni P Pd
2 12 3 1
Direct
0.183 0.183 0.183
0.817 0.817 0.817
0.112 0.112 0.617
0.112 0.617 0.112
0.188 0.684 0.684
0.316 0.316 0.812
0.316 0.812 0.316
0.383 0.888 0.888
0.617 0.112 0.112
0.684 0.188 0.684
0.684 0.684 0.188
0.812 0.316 0.316
0.888 0.383 0.888
0.888 0.888 0.383
0.000 0.500 0.500
0.500 0.000 0.500
0.500 0.500 0.000
0.500 0.500 0.500
```

Values from the calculation:
V in Å³/atom: 13.92
ρ in kg/m3: 7908
Magnetization in μB per formula unit: 0.00
ΔH_f (0 K) in eV/atom: -0.047

# 6
The following is a DFT calculation (PBE) of a geometry-optimized Pm2Ni4P3Pd structure.

```
Pm2Ni4P3Pd
1.0
3.998 0.000 0.000
0.000 3.998 0.000
0.000 0.000 9.606
Pm Ni P Pd
2 4 3 1
Direct
0.000 0.500 0.246
0.500 0.000 0.754
0.000 0.000 0.000
0.000 0.500 0.644
0.500 0.000 0.356
0.500 0.500 0.000
0.000 0.500 0.874
0.500 0.000 0.126
0.500 0.500 0.500
0.000 0.000 0.500
```

Values from the calculation:
V in Å³/atom: 15.36
ρ in kg/m3: 7830
Magnetization in μB per formula unit: 0.00
ΔH_f (0 K) in eV/atom: -0.856

# 7
The following is a DFT calculation (PBE) of a geometry-optimized PmNiP2Pd structure.

```
PmNiP2Pd
1.0
-2.028 2.028 4.872
2.028 -2.028 4.872
2.028 2.028 -4.872
Pm Ni P Pd
1 1 2 1
Direct
0.000 0.000 0.000
0.250 0.750 0.500
0.382 0.382 0.000
0.618 0.618 0.000
0.750 0.250 0.500
```

Values from the calculation:
V in Å³/atom: 16.02
ρ in kg/m3: 7711
Magnetization in μB per formula unit: 0.00
ΔH_f (0 K) in eV/atom: -0.934

# 8
The following is a DFT calculation (PBE) of a geometry-optimized Pr2Ni3P4Pd structure.

```
Pr2Ni3P4Pd
1.0
4.131 0.000 0.000
0.000 4.131 0.000
0.000 0.000 9.322
Pr Ni P Pd
2 3 4 1
Direct
0.000 0.500 0.242
0.500 0.000 0.758
0.000 0.500 0.890
0.500 0.000 0.110
0.500 0.500 0.500
0.000 0.000 0.000
0.000 0.500 0.639
0.500 0.000 0.361
0.500 0.500 0.000
0.000 0.000 0.500
```

Values from the calculation:
V in Å³/atom: 15.91
ρ in kg/m3: 7184
Magnetization in μB per formula unit: 0.00
ΔH_f (0 K) in eV/atom: -0.970

# 9
The following is a DFT calculation (PBE) of a geometry-optimized PrNiP2Pd2 structure.

```
PrNiP2Pd2
1.0
-2.078 2.078 6.567
2.078 -2.078 6.567
2.078 2.078 -6.567
Pr Ni P Pd
1 1 2 2
Direct
0.000 0.000 0.000
0.500 0.500 0.000
0.343 0.343 0.000
0.657 0.657 0.000
0.250 0.750 0.500
0.750 0.250 0.500
```

Values from the calculation:
V in Å³/atom: 18.91
ρ in kg/m3: 6942
Magnetization in μB per formula unit: 0.00
ΔH_f (0 K) in eV/atom: -0.612

# 10
The following is a DFT calculation (PBE) of a geometry-optimized NiPPdPt structure.

```
NiPPdPt
1.0
3.800 -1.650 0.000
3.800 1.650 0.000
-2.165 0.000 4.668
Ni P Pd Pt
1 1 1 1
Direct
0.000 0.000 0.000
0.307 0.307 0.004
0.809 0.809 0.345
0.614 0.614 0.682
```

Values from the calculation:
V in Å³/atom: 14.63
ρ in kg/m3: 11100
Magnetization in μB per formula unit: 0.00
ΔH_f (0 K) in eV/atom: -0.257

# 11
The following is a DFT calculation (PBE) of a geometry-optimized NiP2PdS structure.

```
NiP2PdS
1.0
4.550 0.000 0.000
0.000 4.550 0.000
0.000 0.000 4.891
Ni P Pd S
1 2 1 1
Direct
0.000 0.000 0.000
0.000 0.500 0.500
0.500 0.000 0.500
0.500 0.500 0.500
0.500 0.500 0.000
```

Values from the calculation:
V in Å³/atom: 20.25
ρ in kg/m3: 4249
Formation energy (no corrections) in meV per atom: 1070.3
Magnetization in μB per formula unit: 0.60
ΔE to the lowest computed polymorph in meV/atom: 491.6

# 12
The following is a DFT calculation (PBE) of a geometry-optimized NiP2PdS structure.

```
NiP2PdS
1.0
4.286 0.000 0.000
0.000 4.286 0.000
0.000 0.000 4.627
Ni P Pd S
1 2 1 1
Direct
0.000 0.000 0.000
0.000 0.500 0.000
0.500 0.000 0.000
0.500 0.500 0.500
0.000 0.000 0.500
```

Values from the calculation:
V in Å³/atom: 17.00
ρ in kg/m3: 5062
Formation energy (no corrections) in meV per atom: 578.7
Magnetization in μB per formula unit: 0.00
ΔE to the lowest computed polymorph in meV/atom: 0.0

# 13
The following is a DFT calculation (PBE) of a geometry-optimized NiPPdS2 structure.

```
NiPPdS2
1.0
4.813 0.000 0.000
0.000 4.813 0.000
0.000 0.000 4.442
Ni P Pd S
1 1 1 2
Direct
0.000 0.000 0.000
0.500 0.500 0.000
0.500 0.500 0.500
0.000 0.500 0.500
0.500 0.000 0.500
```

Values from the calculation:
V in Å³/atom: 20.58
ρ in kg/m3: 4200
Formation energy (no corrections) in meV per atom: 998.6
Magnetization in μB per formula unit: 1.75
ΔE to the lowest computed polymorph in meV/atom: 413.2

# 14
The following is a DFT calculation (PBE) of a geometry-optimized NiPPdS2 structure.

```
NiPPdS2
1.0
4.539 0.000 0.000
0.000 4.539 0.000
0.000 0.000 4.203
Ni P Pd S
1 1 1 2
Direct
0.000 0.000 0.000
0.000 0.000 0.500
0.500 0.500 0.500
0.000 0.500 0.000
0.500 0.000 0.000
```

Values from the calculation:
V in Å³/atom: 17.31
ρ in kg/m3: 4991
Formation energy (no corrections) in meV per atom: 585.4
Magnetization in μB per formula unit: 0.00
ΔE to the lowest computed polymorph in meV/atom: 0.0

# 15
The following is a DFT calculation (PBE) of a geometry-optimized Sm2Ni3P4Pd structure.

```
Sm2Ni3P4Pd
1.0
4.092 0.000 0.000
0.000 4.092 0.000
0.000 0.000 9.233
Sm Ni P Pd
2 3 4 1
Direct
0.000 0.500 0.241
0.500 0.000 0.759
0.000 0.500 0.889
0.500 0.000 0.111
0.500 0.500 0.500
0.000 0.000 0.000
0.000 0.500 0.640
0.500 0.000 0.360
0.500 0.500 0.000
0.000 0.000 0.500
```

Values from the calculation:
V in Å³/atom: 15.46
ρ in kg/m3: 7596
Magnetization in μB per formula unit: 0.00
ΔH_f (0 K) in eV/atom: -0.983

# 16
The following is a DFT calculation (PBE) of a geometry-optimized Sm2Ni4P3Pd structure.

```
Sm2Ni4P3Pd
1.0
3.982 0.000 0.000
0.000 3.982 0.000
0.000 0.000 9.615
Sm Ni P Pd
2 4 3 1
Direct
0.000 0.500 0.246
0.500 0.000 0.754
0.000 0.000 0.000
0.000 0.500 0.644
0.500 0.000 0.356
0.500 0.500 0.000
0.000 0.500 0.874
0.500 0.000 0.126
0.500 0.500 0.500
0.000 0.000 0.500
```

Values from the calculation:
V in Å³/atom: 15.24
ρ in kg/m3: 8005
Magnetization in μB per formula unit: 0.00
ΔH_f (0 K) in eV/atom: -0.860

# 17
The following is a DFT calculation (PBE) of a geometry-optimized SrNiPPd2 structure.

```
SrNiPPd2
1.0
4.704 0.000 0.000
0.000 4.704 0.000
0.000 0.000 4.322
Sr Ni P Pd
1 1 1 2
Direct
0.000 0.000 0.000
0.500 0.500 0.000
0.500 0.500 0.500
0.000 0.500 0.500
0.500 0.000 0.500
```

Values from the calculation:
V in Å³/atom: 19.13
ρ in kg/m3: 6773
Magnetization in μB per formula unit: 0.00
ΔH_f (0 K) in eV/atom: -0.552

# 18
The following is a DFT calculation (PBE) of a geometry-optimized SrNiPPd structure.

```
SrNiPPd
1.0
3.867 0.000 0.000
0.000 3.867 0.000
0.000 0.000 10.518
Sr Ni P Pd
2 2 2 2
Direct
0.250 0.250 0.237
0.750 0.750 0.763
0.250 0.750 0.500
0.750 0.250 0.500
0.250 0.250 0.611
0.750 0.750 0.389
0.250 0.750 0.000
0.750 0.250 0.000
```

Values from the calculation:
V in Å³/atom: 19.66
ρ in kg/m3: 5991
Magnetization in μB per formula unit: 0.00
ΔH_f (0 K) in eV/atom: -0.634

# 19
The following is a DFT calculation (PBE) of a geometry-optimized Sr2Ni12P3Pd structure.

```
Sr2Ni12P3Pd
1.0
3.877 2.238 5.783
-3.877 2.238 5.783
0.000 -4.477 5.783
Sr Ni P Pd
2 12 3 1
Direct
0.108 0.108 0.108
0.892 0.892 0.892
0.119 0.621 0.621
0.167 0.167 0.586
0.167 0.586 0.167
0.379 0.379 0.881
0.379 0.881 0.379
0.414 0.833 0.833
0.586 0.167 0.167
0.621 0.119 0.621
0.621 0.621 0.119
0.833 0.414 0.833
0.833 0.833 0.414
0.881 0.379 0.379
0.000 0.500 0.500
0.500 0.000 0.500
0.500 0.500 0.000
0.500 0.500 0.500
```

Values from the calculation:
V in Å³/atom: 16.73
ρ in kg/m3: 5949
Magnetization in μB per formula unit: 0.00
ΔH_f (0 K) in eV/atom: 0.107

# 20
The following is a DFT calculation (PBE) of a geometry-optimized Tb2Ni3P4Pd structure.

```
Tb2Ni3P4Pd
1.0
4.059 0.000 0.000
0.000 4.059 0.000
0.000 0.000 9.168
Tb Ni P Pd
2 3 4 1
Direct
0.000 0.500 0.241
0.500 0.000 0.759
0.000 0.500 0.888
0.500 0.000 0.112
0.500 0.500 0.500
0.000 0.000 0.000
0.000 0.500 0.641
0.500 0.000 0.359
0.500 0.500 0.000
0.000 0.000 0.500
```

Values from the calculation:
V in Å³/atom: 15.11
ρ in kg/m3: 7960
Magnetization in μB per formula unit: 0.00
ΔH_f (0 K) in eV/atom: -0.978